# Ce2TiZnN5 GGA-PBE relaxed
# - Energy relative to the elements, uncorrected: -0.904 eV/atom
# - Total magnetization: 0.000 Bohr magnetons per cell
data_Ce2TiZnN5
_space_group_name_H-M_alt 'C m c 21'
_space_group_IT_number 36
_cell_length_a 3.308
_cell_length_b 13.378
_cell_length_c 10.004
_cell_angle_alpha 90.00
_cell_angle_beta 90.00
_cell_angle_gamma 90.00
loop_
_space_group_symop_operation_xyz
'x,y,z'
'-x,-y,z+1/2'
'-x,y,z'
'x,-y,z+1/2'
'x+1/2,y+1/2,z'
'-x+1/2,-y+1/2,z+1/2'
'-x+1/2,y+1/2,z'
'x+1/2,-y+1/2,z+1/2'
loop_
_atom_site_label
_atom_site_fract_x
_atom_site_fract_y
_atom_site_fract_z
Ce1 0.000 0.114 0.000
Ce2 0.000 0.134 0.609
Ti1 0.000 0.209 0.316
Zn1 0.000 0.475 0.783
N1 0.000 0.061 0.375
N2 0.000 0.284 0.964
N3 0.000 0.303 0.684
N4 0.000 0.357 0.318
N5 0.000 0.496 0.087

# MgHgC3 GGA-PBE relaxed
# - ΔH_f (0 K): 3133 meV per atom
# - Total magnetization: 0.557 Bohr magnetons per cell
# - E above lowest polymorph: 1.05 eV/f.u.
data_MgHgC3
_space_group_name_H-M_alt 'P m -3 m'
_space_group_IT_number 221
_space_group_name_Hall '-P 4 2 3'
_cell_length_a 4.345
_cell_length_b 4.345
_cell_length_c 4.345
_cell_angle_alpha 90.00
_cell_angle_beta 90.00
_cell_angle_gamma 90.00
loop_
_atom_site_label
_atom_site_fract_x
_atom_site_fract_y
_atom_site_fract_z
Mg1 0.000 0.000 0.000
Hg1 0.500 0.500 0.500
C1 0.000 0.500 0.500

# Cd2ReI GGA-PBE relaxed
# - Energy relative to the elements, uncorrected: 1.156 eV/atom
# - Total magnetization: 7.392 Bohr magnetons per cell
# - E above lowest polymorph: 0.00 eV/f.u.
data_Cd2ReI
_space_group_name_H-M_alt 'I -4 2 d'
_space_group_IT_number 122
_space_group_name_Hall 'I -4 2bw'
_cell_length_a 4.157
_cell_length_b 4.157
_cell_length_c 21.816
_cell_angle_alpha 90.00
_cell_angle_beta 90.00
_cell_angle_gamma 90.00
loop_
_atom_site_label
_atom_site_fract_x
_atom_site_fract_y
_atom_site_fract_z
Cd1 0.225 0.250 0.125
Re1 0.000 0.000 0.000
I1 0.000 0.000 0.500

# ZnGaS2N GGA-PBE relaxed
# - Energy relative to the elements, uncorrected: 0.828 eV/atom
# - Total magnetization: 2.075 Bohr magnetons per cell
# - E above lowest polymorph: 0.63 eV/f.u.
data_ZnGaS2N
_space_group_name_H-M_alt 'P 4/m m m'
_space_group_IT_number 123
_space_group_name_Hall '-P 4 2'
_cell_length_a 4.881
_cell_length_b 4.881
_cell_length_c 3.783
_cell_angle_alpha 90.00
_cell_angle_beta 90.00
_cell_angle_gamma 90.00
loop_
_atom_site_label
_atom_site_fract_x
_atom_site_fract_y
_atom_site_fract_z
Zn1 0.000 0.000 0.000
Ga1 0.500 0.500 0.500
S1 0.000 0.500 0.000
N1 0.000 0.000 0.500

# AlRe2Os GGA-PBE relaxed
# - ΔH_f (0 K): 185 meV per atom
# - Total magnetization: 0.001 Bohr magnetons per cell
data_AlRe2Os
_space_group_name_H-M_alt 'P 4/m m m'
_space_group_IT_number 123
_space_group_name_Hall '-P 4 2'
_cell_length_a 3.778
_cell_length_b 3.778
_cell_length_c 4.125
_cell_angle_alpha 90.00
_cell_angle_beta 90.00
_cell_angle_gamma 90.00
loop_
_atom_site_label
_atom_site_fract_x
_atom_site_fract_y
_atom_site_fract_z
Al1 0.000 0.000 0.000
Re1 0.000 0.500 0.500
Os1 0.500 0.500 0.000

# FeTcP GGA-PBE relaxed
# - ΔH_f (0 K): -200 meV per atom
# - Total magnetization: 1.491 Bohr magnetons per cell
# - E above lowest polymorph: 1.14 eV/f.u.
data_FeTcP
_space_group_name_H-M_alt 'P -6 m 2'
_space_group_IT_number 187
_space_group_name_Hall 'P -6 2'
_cell_length_a 3.8711
_cell_length_b 3.8711
_cell_length_c 2.8262
_cell_angle_alpha 90.00
_cell_angle_beta 90.00
_cell_angle_gamma 120.00
loop_
_atom_site_label
_atom_site_fract_x
_atom_site_fract_y
_atom_site_fract_z
Fe1 0.0000 0.0000 0.0000
Tc1 0.6667 0.3333 0.5000
P1 0.3333 0.6667 0.0000

# MnBiSe2 GGA-PBE relaxed
# - Energy relative to the elements, uncorrected: -0.263 eV/atom
# - Total magnetization: 17.197 Bohr magnetons per cell
data_MnBiSe2
_space_group_name_H-M_alt 'P n m a'
_space_group_IT_number 62
_cell_length_a 7.064
_cell_length_b 3.690
_cell_length_c 16.304
_cell_angle_alpha 90.00
_cell_angle_beta 90.00
_cell_angle_gamma 90.00
loop_
_space_group_symop_operation_xyz
'x,y,z'
'-x,-y,-z'
'-x+1/2,-y,z+1/2'
'x+1/2,y,-z+1/2'
'x+1/2,-y+1/2,-z+1/2'
'-x+1/2,y+1/2,z+1/2'
'-x,y+1/2,-z'
'x,-y+1/2,z'
loop_
_atom_site_label
_atom_site_fract_x
_atom_site_fract_y
_atom_site_fract_z
Mn1 0.103 0.250 0.078
Bi1 0.039 0.250 0.637
Se1 0.074 0.750 0.186
Se2 0.241 0.750 0.981

# LiNdZnGe GGA-PBE relaxed
# - ΔH_f (0 K): -428 meV per atom
# - Total magnetization: 0.000 Bohr magnetons per cell
data_LiNdZnGe
_space_group_name_H-M_alt 'F -4 3 m'
_space_group_IT_number 216
_space_group_name_Hall 'F -4 2 3'
_cell_length_a 6.954
_cell_length_b 6.954
_cell_length_c 6.954
_cell_angle_alpha 90.00
_cell_angle_beta 90.00
_cell_angle_gamma 90.00
loop_
_atom_site_label
_atom_site_fract_x
_atom_site_fract_y
_atom_site_fract_z
Li1 0.000 0.000 0.000
Nd1 0.000 0.000 0.500
Zn1 0.250 0.250 0.750
Ge1 0.250 0.250 0.250

# YTa2P GGA-PBE relaxed
# - ΔH_f (0 K): 63 meV per atom
# - Total magnetization: 0.000 Bohr magnetons per cell
data_YTa2P
_space_group_name_H-M_alt 'I m m 2'
_space_group_IT_number 44
_cell_length_a 3.547
_cell_length_b 4.913
_cell_length_c 8.830
_cell_angle_alpha 90.00
_cell_angle_beta 90.00
_cell_angle_gamma 90.00
loop_
_space_group_symop_operation_xyz
'x,y,z'
'-x,-y,z'
'-x,y,z'
'x,-y,z'
'x+1/2,y+1/2,z+1/2'
'-x+1/2,-y+1/2,z+1/2'
'-x+1/2,y+1/2,z+1/2'
'x+1/2,-y+1/2,z+1/2'
loop_
_atom_site_label
_atom_site_fract_x
_atom_site_fract_y
_atom_site_fract_z
Y1 0.000 0.000 0.000
Ta1 0.000 0.000 0.542
Ta2 0.000 0.500 0.778
P1 0.000 0.500 0.247

# SrLi2H GGA-PBE relaxed
# - Total magnetization: 4.598 Bohr magnetons per cell
# - E above lowest polymorph: 0.00 eV/f.u.
data_SrLi2H
_space_group_name_H-M_alt 'I 41/a m d'
_space_group_IT_number 141
_cell_length_a 6.464
_cell_length_b 6.464
_cell_length_c 9.033
_cell_angle_alpha 90.00
_cell_angle_beta 90.00
_cell_angle_gamma 90.00
loop_
_space_group_symop_operation_xyz
'x,y,z'
'-x,-y,-z'
'-y+1/4,x+3/4,z+1/4'
'y+1/4,-x+3/4,-z+1/4'
'-x+1/2,-y,z+1/2'
'x+1/2,y,-z+1/2'
'y+1/4,-x+1/4,z+3/4'
'-y+1/4,x+1/4,-z+3/4'
'x,-y,-z'
'-x,y,z'
'-y+1/4,-x+1/4,-z+3/4'
'y+1/4,x+1/4,z+3/4'
'-x+1/2,y,-z+1/2'
'x+1/2,-y,z+1/2'
'y+1/4,x+3/4,-z+1/4'
'-y+1/4,-x+3/4,z+1/4'
'x+1/2,y+1/2,z+1/2'
'-x+1/2,-y+1/2,-z+1/2'
'-y+3/4,x+1/4,z+3/4'
'y+3/4,-x+1/4,-z+3/4'
'-x,-y+1/2,z'
'x,y+1/2,-z'
'y+3/4,-x+3/4,z+1/4'
'-y+3/4,x+3/4,-z+1/4'
'x+1/2,-y+1/2,-z+1/2'
'-x+1/2,y+1/2,z+1/2'
'-y+3/4,-x+3/4,-z+1/4'
'y+3/4,x+3/4,z+1/4'
'-x,y+1/2,-z'
'x,-y+1/2,z'
'y+3/4,x+1/4,-z+3/4'
'-y+3/4,-x+1/4,z+3/4'
loop_
_atom_site_label
_atom_site_fract_x
_atom_site_fract_y
_atom_site_fract_z
Sr1 0.000 0.250 0.375
Li1 0.000 0.000 0.000
H1 0.000 0.250 0.875

# Sb2PdI GGA-PBE relaxed
# - Energy relative to the elements, uncorrected: -0.244 eV/atom
# - Total magnetization: 0.000 Bohr magnetons per cell
# - E above lowest polymorph: 0.00 eV/f.u.
data_Sb2PdI
_space_group_name_H-M_alt 'R -3 m'
_space_group_IT_number 166
_space_group_name_Hall '-R 3 2"'
_cell_length_a 4.2939
_cell_length_b 4.2939
_cell_length_c 24.7132
_cell_angle_alpha 90.00
_cell_angle_beta 90.00
_cell_angle_gamma 120.00
loop_
_atom_site_label
_atom_site_fract_x
_atom_site_fract_y
_atom_site_fract_z
Sb1 0.0000 0.0000 0.1212
Pd1 0.0000 0.0000 0.5000
I1 0.0000 0.0000 0.0000

# HgRu2PbO8 GGA-PBE relaxed
# - Energy relative to the elements, uncorrected: -0.692 eV/atom
# - Total magnetization: 3.644 Bohr magnetons per cell
data_HgRu2PbO8
_space_group_name_H-M_alt 'C 1 2/m 1'
_space_group_IT_number 12
_cell_length_a 11.422
_cell_length_b 6.162
_cell_length_c 6.257
_cell_angle_alpha 90.00
_cell_angle_beta 102.88
_cell_angle_gamma 90.00
loop_
_space_group_symop_operation_xyz
'x,y,z'
'-x,-y,-z'
'-x,y,-z'
'x,-y,z'
'x+1/2,y+1/2,z'
'-x+1/2,-y+1/2,-z'
'-x+1/2,y+1/2,-z'
'x+1/2,-y+1/2,z'
loop_
_atom_site_label
_atom_site_fract_x
_atom_site_fract_y
_atom_site_fract_z
Hg1 0.000 0.000 0.000
Ru1 0.199 0.000 0.662
Pb1 0.000 0.500 0.500
O1 0.119 0.217 0.760
O2 0.144 0.500 0.238
O3 0.160 0.000 0.376